This record from the Alexandria database describes crystalline Dy15ErTm4 at its relaxed geometry. The functional is PBE. Values from VASP.

## Properties
For the density of states at the Fermi level, the calculation gives 25.77 states/eV/cell. As for the formation energy: 20 meV per atom. Its space group is No. 123. The calculation puts the spin magnetization at 0.00 μB per formula unit.

Structure (Quantum ESPRESSO input):
```
&SYSTEM
  ibrav = 0, nat = 20, ntyp = 3
/
ATOMIC_SPECIES
Dy 162.50 Dy.upf
Er 167.26 Er.upf
Tm 168.93 Tm.upf
CELL_PARAMETERS angstrom
-3.690 -0.997 -3.194
-0.260 -4.656 1.752
-16.673 7.319 16.979
ATOMIC_POSITIONS angstrom
Dy -1.975 -2.826 -0.721
Dy -5.316 -1.360 2.681
Dy -8.647 0.103 6.073
Dy -11.976 1.564 9.463
Dy -15.307 3.026 12.855
Dy -3.518 0.236 0.106
Dy -6.852 1.699 3.501
Dy -10.182 3.161 6.892
Dy -13.512 4.623 10.283
Dy -16.845 6.087 13.678
Dy -1.803 -1.594 2.580
Dy -5.136 -0.130 5.974
Dy -8.466 1.332 9.365
Dy -11.797 2.794 12.757
Dy -15.130 4.257 16.151
Er 0.000 0.000 0.000
Tm -3.341 1.467 3.402
Tm -6.672 2.929 6.794
Tm -10.001 4.391 10.184
Tm -13.333 5.853 13.577
```

This record from the Alexandria database describes crystalline Dy4Er10Tm at its relaxed geometry. The functional is PBE. Values from VASP.

## Properties
For the density of states at the Fermi level, the calculation gives 15.02 states/eV/cell. As for the formation energy: 731 meV per atom. Its space group is No. 87. The calculation puts the spin magnetization at 0.00 μB per formula unit.

Structure (Quantum ESPRESSO input):
```
&SYSTEM
  ibrav = 0, nat = 15, ntyp = 3
/
ATOMIC_SPECIES
Dy 162.50 Dy.upf
Er 167.26 Er.upf
Tm 168.93 Tm.upf
CELL_PARAMETERS angstrom
6.915 0.000 3.122
3.458 8.495 1.561
-0.039 0.000 9.304
ATOMIC_POSITIONS angstrom
Dy 5.517 6.806 6.219
Dy 7.572 5.098 10.887
Dy 2.762 3.397 3.101
Dy 4.817 1.689 7.769
Er 3.438 4.248 6.213
Er 5.505 2.540 10.870
Er 0.678 0.854 3.093
Er 6.188 7.641 9.328
Er 8.298 5.955 4.684
Er 4.829 5.955 3.118
Er 6.896 4.248 7.774
Er 2.036 2.540 9.303
Er 4.147 0.854 4.660
Er 9.656 7.641 10.894
Tm 0.000 0.000 0.000
```

This record from the Alexandria database describes crystalline DyEr4Tm3 at its relaxed geometry. The functional is PBE. Values from VASP.

## Properties
For the density of states at the Fermi level, the calculation gives 11.44 states/eV/cell. As for the formation energy: 219 meV per atom. Its space group is No. 65. The calculation puts the spin magnetization at 0.00 μB per formula unit. For the energy relative to the lowest polymorph listed for this composition, the calculation gives 0.222 eV/atom.

Structure (Quantum ESPRESSO input):
```
&SYSTEM
  ibrav = 0, nat = 8, ntyp = 3
/
ATOMIC_SPECIES
Er 167.26 Er.upf
Tm 168.93 Tm.upf
Dy 162.50 Dy.upf
CELL_PARAMETERS angstrom
5.421 0.000 -1.080
-0.063 3.499 -0.317
-0.204 1.190 13.113
ATOMIC_POSITIONS angstrom
Er 3.198 1.998 1.908
Er 1.955 2.691 9.807
Er 1.356 2.405 6.804
Er 3.797 2.284 4.911
Tm -0.032 1.750 -0.159
Tm 4.371 4.316 7.793
Tm 0.782 0.373 3.922
Dy 2.710 0.000 -0.540
```

This record from the Alexandria database describes crystalline DyEr8Tm4 at its relaxed geometry. The functional is PBE. Values from VASP.

## Properties
For the density of states at the Fermi level, the calculation gives 16.49 states/eV/cell. As for the formation energy: 231 meV per atom. Its space group is No. 166. The calculation puts the spin magnetization at 0.00 μB per formula unit.

Structure (Quantum ESPRESSO input):
```
&SYSTEM
  ibrav = 0, nat = 13, ntyp = 3
/
ATOMIC_SPECIES
Dy 162.50 Dy.upf
Er 167.26 Er.upf
Tm 168.93 Tm.upf
CELL_PARAMETERS angstrom
6.308 0.000 -3.403
-4.072 5.898 0.000
1.200 0.829 9.771
ATOMIC_POSITIONS angstrom
Dy -1.436 3.364 4.885
Er 0.812 4.915 1.504
Er 2.624 1.812 4.864
Er 2.491 1.720 1.246
Er 6.015 1.743 3.602
Er 0.945 5.007 5.121
Er 3.762 5.007 3.602
Er -0.326 1.720 2.766
Er -2.579 4.984 2.766
Tm 0.000 0.000 0.000
Tm -0.836 3.778 9.771
Tm 1.118 2.949 -1.702
Tm 3.154 0.000 -1.702
```

This record from the Alexandria database describes crystalline Dy12ErTm3 at its relaxed geometry. The functional is PBE. Values from VASP.

## Properties
For the density of states at the Fermi level, the calculation gives 20.63 states/eV/cell. As for the formation energy: 20 meV per atom. Its space group is No. 123. The calculation puts the spin magnetization at 0.00 μB per formula unit.

Structure (Quantum ESPRESSO input):
```
&SYSTEM
  ibrav = 0, nat = 16, ntyp = 3
/
ATOMIC_SPECIES
Dy 162.50 Dy.upf
Er 167.26 Er.upf
Tm 168.93 Tm.upf
CELL_PARAMETERS angstrom
4.982 0.000 0.000
0.000 4.982 0.000
0.000 0.000 19.918
ATOMIC_POSITIONS angstrom
Dy 2.491 2.491 0.000
Dy 2.491 2.491 4.984
Dy 2.491 2.491 9.959
Dy 2.491 2.491 14.935
Dy 2.491 0.000 2.494
Dy 2.491 0.000 7.470
Dy 2.491 0.000 12.448
Dy 2.491 0.000 17.424
Dy 0.000 2.491 2.494
Dy 0.000 2.491 7.470
Dy 0.000 2.491 12.448
Dy 0.000 2.491 17.424
Er 0.000 0.000 0.000
Tm 0.000 0.000 4.983
Tm 0.000 0.000 9.959
Tm 0.000 0.000 14.936
```

This record from the Alexandria database describes crystalline Dy3Er7Tm2 at its relaxed geometry. The functional is PBE. Values from VASP.

## Properties
For the density of states at the Fermi level, the calculation gives 17.30 states/eV/cell. As for the formation energy: 24 meV per atom. Its space group is No. 69. The calculation puts the spin magnetization at 0.00 μB per formula unit. For the energy relative to the lowest polymorph listed for this composition, the calculation gives 0.000 eV/atom.

Structure (Quantum ESPRESSO input):
```
&SYSTEM
  ibrav = 0, nat = 12, ntyp = 3
/
ATOMIC_SPECIES
Dy 162.50 Dy.upf
Er 167.26 Er.upf
Tm 168.93 Tm.upf
CELL_PARAMETERS angstrom
5.984 -0.962 0.401
-1.136 5.930 0.658
1.525 1.168 10.899
ATOMIC_POSITIONS angstrom
Dy 2.424 2.484 0.529
Dy 4.547 4.528 4.517
Dy 1.825 1.609 7.440
Er 4.967 1.345 5.914
Er 1.406 4.792 6.043
Er 5.265 1.783 2.461
Er 0.000 0.000 0.000
Er 1.107 4.354 9.497
Er 4.667 0.908 9.368
Er 1.705 5.228 2.589
Tm 2.124 2.044 3.987
Tm 4.249 4.092 7.970
```